[1]
Compound: CdH6Ir2Rh
Source: the Alexandria database
Functional: GGA-PBE
Structure: optimized geometry

POSCAR file:
```
CdH6Ir2Rh
1.0
-2.3534 2.7421 4.4131
-1.0786 -5.3621 1.6178
5.2778 0.2202 1.7688
Cd H Ir Rh
2 12 4 2
direct
0.1630 0.8370 0.2500
0.8370 0.1630 0.7500
0.8799 0.4372 0.1494
0.5628 0.1201 0.3506
0.1201 0.5628 0.8506
0.4372 0.8799 0.6494
0.1852 0.2532 0.0772
0.7468 0.8148 0.4228
0.8148 0.7468 0.9228
0.2532 0.1852 0.5772
0.3460 0.5127 0.4047
0.4873 0.6540 0.0953
0.6540 0.4873 0.5953
0.5127 0.3460 0.9047
0.3240 0.0727 0.8437
0.9273 0.6760 0.6563
0.6760 0.9273 0.1563
0.0727 0.3240 0.3437
0.5950 0.4050 0.2500
0.4050 0.5950 0.7500
```

Computed properties:
The total magnetic moment is 0.0 μB per cell. The calculation puts the density of states at the Fermi level at 6.37 states/eV/cell. The space-group type is No. 15. The total energy is -89.6 eV per cell.

=====

[2]
Compound: Pm2Zn3Pt
Source: the Alexandria database
Functional: GGA-PBE
Structure: optimized geometry

POSCAR file:
```
Pm2Zn3Pt
1.0
-4.4048 -1.8239 3.3225
-1.4389 -5.0096 -2.5693
7.9178 -0.3537 4.1770
Pm Zn Pt
4 6 2
direct
0.7500 0.2500 0.5000
0.7414 0.2586 0.0000
0.2500 0.7500 0.5000
0.2586 0.7414 0.0000
0.8347 0.8347 0.1654
0.6693 0.6693 0.8346
0.1653 0.1653 0.8346
0.3307 0.3307 0.1654
0.1649 0.1649 0.3298
0.8351 0.8351 0.6702
0.6661 0.6661 0.3323
0.3339 0.3339 0.6677
```

Computed properties:
The total magnetic moment is 0.0 μB per cell. The energy above the most stable polymorph in this dataset comes out at 4.9 meV/atom. The calculation puts the density of states at the Fermi level at 8.40 states/eV/cell. The space-group type is No. 69. The calculation puts the formation energy from the elements at -0.61 eV per atom. The total energy is -46.1 eV per cell.

=====

[3]
Compound: LaPu6
Source: the Alexandria database
Functional: GGA-PBE
Structure: optimized geometry

POSCAR file:
```
LaPu6
1.0
-1.4014 4.2812 3.6747
-4.5564 -3.5477 -0.6701
4.4937 -3.0009 2.1443
La Pu
1 6
direct
0.0000 0.0000 0.0000
0.2500 0.7500 0.5000
0.5000 0.7500 0.2500
0.2500 0.5000 0.7500
0.7500 0.2500 0.5000
0.5000 0.2500 0.7500
0.7500 0.5000 0.2500
```

Computed properties:
The total magnetic moment is 0.0 μB per cell. The calculation puts the density of states at the Fermi level at 18.06 states/eV/cell. The space-group type is No. 229. The calculation puts the formation energy from the elements at 0.13 eV per atom. The total energy is -90.0 eV per cell.

=====

- Number 3 is which compound?
  LaPu6

=====

- What is the total energy in the third record?
  -90.0 eV per cell